VASP calculation (PBE with a Hubbard U) on crystalline NbNiIrF2 at its relaxed geometry.

Properties
- total magnetic moment (μB/f.u.) = 0.0
- electronic total energy (eV/atom) = -5.3908

abc: 3.638 6.224 3.638
angles: 90.00 90.00 90.00
Sites, in units of the cell vectors:
Ir  0.000  0.500  0.000
F  0.000  0.000  0.500
F  0.500  0.000  0.000
Ni  0.000  0.000  0.000
Nb  0.500  0.500  0.500